(1)
10
Lattice="4.426 0.000 0.000 0.000 4.426 0.000 0.000 0.000 10.704" Properties=species:S:1:pos:R:3 comment="PBE-GGA La2CuGe4Au3, optimized geometry" dft_energy_ev_per_atom=-4.81 formation_enthalpy_0k_ev_per_fu=-5.87 pbc="T T T"
La 0.000 2.213 2.566
La 2.213 0.000 8.137
Cu 2.213 2.213 0.000
Ge 0.000 0.000 5.352
Ge 0.000 2.213 9.352
Ge 2.213 0.000 1.351
Ge 2.213 2.213 5.352
Au 0.000 0.000 0.000
Au 0.000 2.213 6.816
Au 2.213 0.000 3.888


(2)
12
Lattice="-1.860 1.860 13.482 1.860 -1.860 13.482 1.860 1.860 -13.482" Properties=species:S:1:pos:R:3 comment="PBE-GGA Li2Cu5Ge2Au3, optimized geometry" dft_energy_ev_per_atom=-3.66 formation_enthalpy_0k_ev_per_fu=-0.59 pbc="T T T"
Li 0.000 0.000 6.176
Li 0.000 0.000 20.788
Cu 0.000 0.000 0.000
Cu 1.860 0.000 1.953
Cu 1.860 0.000 11.529
Cu 0.000 1.860 1.953
Cu 0.000 1.860 11.529
Ge 0.000 0.000 3.686
Ge 0.000 0.000 23.279
Au 0.000 0.000 8.867
Au 0.000 0.000 13.482
Au 0.000 0.000 18.097


(3)
16
Lattice="6.210 0.000 0.000 0.000 6.210 0.000 0.000 0.000 6.210" Properties=species:S:1:pos:R:3 comment="PBE-GGA LiCuGeAu, optimized geometry" dft_energy_ev_per_atom=-3.70 formation_enthalpy_0k_ev_per_fu=-0.91 pbc="T T T"
Li 0.000 0.000 0.000
Li 0.000 3.105 3.105
Li 3.105 0.000 3.105
Li 3.105 3.105 0.000
Cu 1.553 1.553 4.658
Cu 1.553 4.658 1.553
Cu 4.658 1.553 1.553
Cu 4.658 4.658 4.658
Ge 0.000 0.000 3.105
Ge 0.000 3.105 0.000
Ge 3.105 0.000 0.000
Ge 3.105 3.105 3.105
Au 1.553 1.553 1.553
Au 1.553 4.658 4.658
Au 4.658 1.553 4.658
Au 4.658 4.658 1.553


(4)
16
Lattice="6.630 0.000 0.000 0.000 6.630 0.000 0.000 0.000 6.630" Properties=species:S:1:pos:R:3 comment="PBE-GGA LuCuGeAu, optimized geometry" dft_energy_ev_per_atom=-4.52 formation_enthalpy_0k_ev_per_fu=-1.56 pbc="T T T"
Lu 0.000 0.000 0.000
Lu 0.000 3.315 3.315
Lu 3.315 0.000 3.315
Lu 3.315 3.315 0.000
Cu 0.000 0.000 3.315
Cu 0.000 3.315 0.000
Cu 3.315 0.000 0.000
Cu 3.315 3.315 3.315
Ge 1.657 1.657 1.657
Ge 1.657 4.972 4.972
Ge 4.972 1.657 4.972
Ge 4.972 4.972 1.657
Au 1.657 1.657 4.972
Au 1.657 4.972 1.657
Au 4.972 1.657 1.657
Au 4.972 4.972 4.972